A relaxed structure of AlCdCuTc, computed with PBE.

Results
As for the density: 8.20 Mg/m³. Its uncorrected energy is -18.05 eV for the cell shown. The calculation puts the relative energy among the computed polymorphs at 0.0 meV per atom.

Cell: 4.416 4.416 4.416 Å, 60.00 60.00 60.00°
Atoms (fractional coordinates):
Tc (0.250, 0.250, 0.250)
Al (0.000, 0.000, 0.000)
Cu (0.750, 0.750, 0.750)
Cd (0.500, 0.500, 0.500)

=====

A relaxed structure of GdHoTm2In2, computed with PBE.

Results
As for the density: 8.90 Mg/m³. Its uncorrected energy is -25.75 eV for the cell shown.

Cell: 5.352 5.352 6.689 Å, 90.00 90.00 120.00°
Atoms (fractional coordinates):
Gd (0.000, 0.000, 0.000)
In (0.333, 0.667, 0.250)
In (0.667, 0.333, 0.750)
Ho (0.000, 0.000, 0.500)
Tm (0.333, 0.667, 0.750)
Tm (0.667, 0.333, 0.250)

=====

A relaxed structure of Ac2BeOs2, computed with PBE.

Results
As for the density: 11.98 Mg/m³. Its uncorrected energy is -66.78 eV for the cell shown.

Cell: 5.970 5.970 10.401 Å, 90.00 90.00 140.90°
Atoms (fractional coordinates):
Ac (0.640, 0.360, 0.586)
Ac (0.360, 0.640, 0.414)
Ac (0.640, 0.360, 0.914)
Ac (0.360, 0.640, 0.086)
Be (0.384, 0.616, 0.750)
Be (0.616, 0.384, 0.250)
Os (0.070, 0.930, 0.375)
Os (0.930, 0.070, 0.875)
Os (0.930, 0.070, 0.625)
Os (0.070, 0.930, 0.125)

=====

A relaxed structure of BaFeAuSe3, computed with PBE.

Results
As for the density: 7.07 Mg/m³. Its uncorrected energy is -110.55 eV for the cell shown. The calculation puts the relative energy among the computed polymorphs at 0.0 meV per atom.

Cell: 13.820 4.146 10.286 Å, 90.00 90.00 90.00°
Last column: magnetic moment on the atom in μB.
Atoms (fractional coordinates):
Se (0.640, 0.750, 0.776)  0.11
Se (0.860, 0.250, 0.276)  0.11
Se (0.417, 0.750, 0.938)  0.13
Se (0.083, 0.250, 0.438)  0.13
Se (0.610, 0.750, 0.343)  0.07
Se (0.140, 0.750, 0.724)  0.11
Se (0.110, 0.750, 0.157)  0.08
Se (0.360, 0.250, 0.224)  0.11
Se (0.917, 0.750, 0.562)  0.13
Se (0.390, 0.250, 0.657)  0.07
Se (0.583, 0.250, 0.062)  0.13
Se (0.890, 0.250, 0.843)  0.08
Au (0.495, 0.250, 0.402)  0.07
Au (0.995, 0.250, 0.098)  0.07
Au (0.005, 0.750, 0.902)  0.07
Au (0.505, 0.750, 0.598)  0.07
Ba (0.731, 0.250, 0.557)  0.04
Ba (0.769, 0.750, 0.057)  0.04
Ba (0.231, 0.250, 0.943)  0.04
Ba (0.269, 0.750, 0.443)  0.04
Fe (0.985, 0.750, 0.336)  3.23
Fe (0.485, 0.750, 0.164)  3.23
Fe (0.515, 0.250, 0.836)  3.23
Fe (0.015, 0.250, 0.664)  3.23

=====

A relaxed structure of TbScAsO, computed with PBE.

Results
As for the density: 5.67 Mg/m³. Its uncorrected energy is -57.22 eV for the cell shown. The calculation puts the relative energy among the computed polymorphs at 58.7 meV per atom.

Cell: 4.199 6.933 5.931 Å, 90.00 90.00 90.00°
Atoms (fractional coordinates):
O (0.500, 0.164, 0.877)
O (0.500, 0.836, 0.377)
Sc (0.500, 0.901, 0.036)
Sc (0.500, 0.099, 0.536)
Tb (0.000, 0.295, 0.925)
Tb (0.000, 0.705, 0.425)
As (0.000, 0.298, 0.417)
As (0.000, 0.702, 0.917)

=====

A relaxed structure of Nb4AlTlN2, computed with PBE.

Results
As for the density: 8.55 Mg/m³. Its uncorrected energy is -67.28 eV for the cell shown.

Cell: 3.173 3.173 14.051 Å, 90.00 90.00 120.00°
Atoms (fractional coordinates):
Nb (0.000, 0.000, 0.324)
Nb (0.667, 0.333, 0.156)
Nb (0.667, 0.333, 0.844)
Nb (0.000, 0.000, 0.676)
N (0.333, 0.667, 0.241)
N (0.333, 0.667, 0.759)
Tl (0.667, 0.333, 0.500)
Al (0.000, 0.000, 0.000)

=====

Question: Look up the uncorrected energy of the fifth one.
Answer: -57.22 eV for the cell shown

=====

Question: What is the formula in the fourth record?
Answer: BaFeAuSe3

=====

Question: Which of these has the lowest uncorrected energy?
Answer: BaFeAuSe3